Entry A
Sr2HgPRh | PBE-GGA | relaxed

Cell lengths 5.8431, 5.8431, 4.4472 Å; angles 90.00, 90.00, 90.00 degrees
Last column: nearest neighbours and their distance in Å.
Positions (direct):
Sr1 0.0000 0.5000 0.0000  2 Rh 2.92
Sr2 0.5000 0.0000 0.0000  2 Rh 2.92
Hg1 0.0000 0.0000 0.5000  8 Sr 3.67
P1 0.5000 0.5000 0.5000  2 Rh 2.22
Rh1 0.5000 0.5000 0.0000  2 P 2.22

***

Entry B
Sr2HgPRh | PBE-GGA | relaxed

Cell lengths 5.8608, 5.8608, 4.3625 Å; angles 90.00, 90.00, 90.00 degrees
Last column: nearest neighbours and their distance in Å.
Positions (direct):
Sr1 0.0000 0.5000 0.0000  2 P 2.93
Sr2 0.5000 0.0000 0.0000  2 P 2.93
Hg1 0.0000 0.0000 0.5000  8 Sr 3.65
P1 0.5000 0.5000 0.0000  2 Rh 2.18
Rh1 0.5000 0.5000 0.5000  2 P 2.18

***

Tell me which of them is the least stable. Sure, it is entry A.

***

Entry A
HgPRu2 | PBE-GGA | relaxed

Cell lengths 2.8562, 2.8562, 8.1926 Å; angles 90.00, 90.00, 90.00 degrees
Last column: nearest neighbours and their distance in Å.
Positions (direct):
Hg1 0.0000 0.0000 0.0000  4 Hg 2.86, 4 Ru 2.92
P1 0.5000 0.5000 0.3507  4 Ru 2.45
Ru1 0.0000 0.0000 0.5204  4 P 2.45, 4 Ru 2.72
Ru2 0.5000 0.5000 0.7425  8 Ru 2.72-2.86, 4 Hg 2.92

***

Entry B
HgPRu2 | PBE-GGA | relaxed

Cell lengths 4.2817, 4.2817, 6.5601 Å; angles 103.04, 103.04, 40.39 degrees
Last column: nearest neighbours and their distance in Å.
Positions (direct):
Hg1 0.0000 0.0000 0.0000  4 Ru 2.83-2.88, 2 Hg 2.96
P1 0.1475 0.1475 0.5866  5 Ru 2.28-2.29
Ru1 0.4351 0.4351 0.6116  3 P 2.28-2.29
Ru2 0.6955 0.6955 0.3422  2 P 2.28

***

Tell me which of them is the least stable. Sure, it is entry A.

***

Entry A
HgPRu2 | PBE-GGA | relaxed

Cell lengths 2.8406, 3.6637, 6.4250 Å; angles 90.00, 90.00, 90.00 degrees
Last column: nearest neighbours and their distance in Å.
Positions (direct):
Hg1 0.0000 0.0000 0.0000  2 Hg 2.84, 5 Ru 2.89-3.04
P1 0.5000 0.5000 0.3802  5 Ru 2.25-2.39
Ru1 0.0000 0.0000 0.4731  4 P 2.39
Ru2 0.5000 0.5000 0.7311  1 P 2.25

***

Entry B
HgPRu2 | PBE-GGA | relaxed

Cell lengths 4.4030, 4.4030, 4.4030 Å; angles 60.00, 60.00, 60.00 degrees
Last column: nearest neighbours and their distance in Å.
Positions (direct):
Hg1 0.0000 0.0000 0.0000  8 Ru 2.70
P1 0.5000 0.5000 0.5000  8 Ru 2.70
Ru1 0.2500 0.2500 0.2500  4 P 2.70, 4 Hg 2.70
Ru2 0.7500 0.7500 0.7500  4 P 2.70, 4 Hg 2.70

***

Tell me which of them is the least stable. Sure, it is entry B.

***

Entry A
HgPRu2 | PBE-GGA | relaxed

Cell lengths 5.1318, 5.1318, 5.1318 Å; angles 146.29, 121.33, 69.40 degrees
Last column: nearest neighbours and their distance in Å.
Positions (direct):
Hg1 0.0000 0.0000 0.0000  8 Ru 2.89-3.06, 4 P 2.92, 2 Hg 2.98
P1 0.5000 0.5000 0.0000  4 Ru 2.29
Ru1 0.2941 0.7941 0.5000  2 P 2.29
Ru2 0.7059 0.2059 0.5000  2 P 2.29

***

Entry B
HgPRu2 | PBE-GGA | relaxed

Cell lengths 5.6142, 5.6142, 5.6142 Å; angles 104.29, 104.29, 120.42 degrees
Last column: nearest neighbours and their distance in Å.
Positions (direct):
Hg1 0.0000 0.0000 0.0000  2 P 2.79, 8 Ru 2.89-2.97
Hg2 0.7500 0.2500 0.5000  2 P 2.79, 8 Ru 2.89-2.97
P1 0.2500 0.7500 0.5000  4 Ru 2.23
P2 0.5000 0.5000 0.0000  4 Ru 2.23
Ru1 0.1970 0.6250 0.0720  2 P 2.23
Ru2 0.3750 0.4470 0.5720  2 P 2.23
Ru3 0.5530 0.1250 0.9280  2 P 2.23
Ru4 0.8750 0.8030 0.4280  2 P 2.23

***

Entry C
HgPRu2 | PBE-GGA | relaxed

Cell lengths 2.9839, 3.6060, 6.0601 Å; angles 90.00, 104.19, 90.00 degrees
Last column: nearest neighbours and their distance in Å.
Positions (direct):
Hg1 0.0000 0.0000 0.0000  8 Ru 2.92-2.95, 2 Hg 2.98, 2 P 3.03
P1 0.0000 0.0000 0.5000  4 Ru 2.27
Ru1 0.3403 0.5000 0.6991  2 P 2.27
Ru2 0.6597 0.5000 0.3009  2 P 2.27

***

Tell me which of them is the least stable. Sure, it is entry A.

***

Entry A
HgPRu2 | PBE-GGA | relaxed

Cell lengths 4.4083, 5.4037, 5.4037 Å; angles 31.59, 90.00, 90.00 degrees
Last column: nearest neighbours and their distance in Å.
Positions (direct):
Hg1 0.0000 0.0000 0.0000  7 Ru 2.72-3.04, 2 Hg 2.94
P1 0.5000 0.6876 0.6876  4 Ru 2.27-2.29
Ru1 0.0000 0.7380 0.7380  2 P 2.27
Ru2 0.5000 0.3562 0.3562  2 P 2.29

***

Entry B
HgPRu2 | PBE-GGA | relaxed

Cell lengths 9.0502, 9.0502, 9.0502 Å; angles 18.48, 18.48, 18.48 degrees
Last column: nearest neighbours and their distance in Å.
Positions (direct):
Hg1 0.0000 0.0000 0.0000  6 Hg 2.91, 3 Ru 2.93, 3 P 3.18
P1 0.2323 0.2323 0.2323  3 Ru 2.35
Ru1 0.5037 0.5037 0.5037  3 P 2.35
Ru2 0.7566 0.7566 0.7566  9 Ru 2.72-2.91, 3 Hg 2.93

***

Tell me which of them is the least stable. Sure, it is entry B.

***

Entry A
HgPRu3 | PBE-GGA | relaxed

Cell lengths 4.3892, 4.3892, 4.3892 Å; angles 90.00, 90.00, 90.00 degrees
Last column: nearest neighbours and their distance in Å.
Positions (direct):
Hg1 0.0000 0.0000 0.0000  12 Ru 3.10
P1 0.5000 0.5000 0.5000  6 Ru 2.19
Ru1 0.0000 0.5000 0.5000  2 P 2.19
Ru2 0.5000 0.0000 0.5000  2 P 2.19
Ru3 0.5000 0.5000 0.0000  2 P 2.19

***

Entry B
HgPRu3 | PBE-GGA | relaxed

Cell lengths 4.9685, 4.9685, 4.9685 Å; angles 90.00, 90.00, 90.00 degrees
Last column: nearest neighbours and their distance in Å.
Positions (direct):
Hg1 0.0000 0.0000 0.0000  6 Ru 2.48
P1 0.5000 0.5000 0.5000  12 Ru 3.51
Ru1 0.0000 0.0000 0.5000  2 Hg 2.48
Ru2 0.0000 0.5000 0.0000  2 Hg 2.48
Ru3 0.5000 0.0000 0.0000  2 Hg 2.48

***

Tell me which of them is the least stable. Sure, it is entry B.

***

Entry A
HgPS2 | PBE-GGA | relaxed

Cell lengths 6.4704, 6.5345, 7.0099 Å; angles 85.43, 77.04, 65.73 degrees
Last column: nearest neighbours and their distance in Å.
Positions (direct):
Hg1 0.0000 0.0000 0.0000  2 S 2.36-2.43
Hg2 0.3711 0.3649 0.0029  2 S 2.36-2.43
P1 0.1876 0.5620 0.5514  2 S 2.11-2.17, 1 P 2.28
P2 0.4155 0.7516 0.5483  2 S 2.11-2.13, 1 P 2.28
S1 0.0413 0.5246 0.8462  1 P 2.11
S2 0.0741 0.9187 0.4956  2 P 2.13-2.17
S3 0.4059 0.8217 0.8394  1 P 2.11
S4 0.6353 0.1850 0.2096  2 Hg 2.36

***

Entry B
HgPS2 | PBE-GGA | relaxed

Cell lengths 4.6770, 4.6770, 4.6770 Å; angles 60.00, 60.00, 60.00 degrees
Last column: nearest neighbours and their distance in Å.
Positions (direct):
Hg1 0.0000 0.0000 0.0000  8 S 2.86
P1 0.5000 0.5000 0.5000  8 S 2.86
S1 0.2500 0.2500 0.2500  4 Hg 2.86, 4 P 2.86
S2 0.7500 0.7500 0.7500  4 Hg 2.86, 4 P 2.86

***

Entry C
HgPS2 | PBE-GGA | relaxed

Cell lengths 10.2912, 10.2912, 10.2912 Å; angles 18.46, 18.46, 18.46 degrees
Last column: nearest neighbours and their distance in Å.
Positions (direct):
Hg1 0.0000 0.0000 0.0000  6 Hg 3.30, 2 S 3.70
P1 0.5000 0.5000 0.5000  6 S 2.34
S1 0.1218 0.1218 0.1218  3 P 2.34
S2 0.8782 0.8782 0.8782  3 P 2.34

***

Entry D
HgPS2 | PBE-GGA | relaxed

Cell lengths 7.7640, 7.7640, 7.7640 Å; angles 29.19, 29.19, 29.19 degrees
Last column: nearest neighbours and their distance in Å.
Positions (direct):
Hg1 0.0000 0.0000 0.0000  6 S 2.76
P1 0.5000 0.5000 0.5000  2 S 2.13
S1 0.4044 0.4044 0.4044  1 P 2.13
S2 0.5956 0.5956 0.5956  1 P 2.13

***

Tell me which of them is the least stable. Sure, it is entry B.

***

Entry A
HgP2S6 | PBE-GGA | relaxed

Cell lengths 6.8137, 6.8137, 7.7788 Å; angles 90.00, 90.00, 120.00 degrees
Last column: nearest neighbours and their distance in Å.
Positions (direct):
Hg1 0.0000 0.0000 0.0000  6 S 2.83
P1 0.3333 0.6667 0.2453  3 S 1.96
P2 0.6667 0.3333 0.7547  3 S 1.96
S1 0.1673 0.3346 0.2607  1 P 1.96
S2 0.1673 0.8327 0.2607  1 P 1.96
S3 0.3346 0.1673 0.7393  1 P 1.96
S4 0.6654 0.8327 0.2607  1 P 1.96
S5 0.8327 0.1673 0.7393  1 P 1.96
S6 0.8327 0.6654 0.7393  1 P 1.96

***

Entry B
HgP2S6 | PBE-GGA | relaxed

Cell lengths 9.3632, 9.3632, 5.7101 Å; angles 107.61, 107.61, 89.83 degrees
Last column: nearest neighbours and their distance in Å.
Positions (direct):
Hg1 0.2424 0.7576 0.7500  2 S 2.46
Hg2 0.7576 0.2424 0.2500  2 S 2.46
P1 0.1519 0.3122 0.3017  4 S 1.96-2.16
P2 0.3122 0.1519 0.8017  4 S 1.96-2.16
P3 0.6878 0.8481 0.1983  4 S 1.96-2.16
P4 0.8481 0.6878 0.6983  4 S 1.96-2.16
S1 0.0576 0.6376 0.8777  1 P 2.05
S2 0.1078 0.2171 0.5756  2 P 2.16
S3 0.2171 0.1078 0.0756  2 P 2.16
S4 0.3074 0.4792 0.4078  1 P 1.96
S5 0.3624 0.9424 0.6223  1 P 2.05
S6 0.4792 0.3074 0.9078  1 P 1.96
S7 0.5208 0.6926 0.0922  1 P 1.96
S8 0.6376 0.0576 0.3777  1 P 2.05
S9 0.6926 0.5208 0.5922  1 P 1.96
S10 0.7829 0.8922 0.9244  2 P 2.16
S11 0.8922 0.7829 0.4244  2 P 2.16
S12 0.9424 0.3624 0.1223  1 P 2.05

***

Tell me which of them is the least stable. Sure, it is entry A.

***

Entry A
HgP2S2 | PBE-GGA | relaxed

Cell lengths 4.6773, 4.6773, 4.5603 Å; angles 90.00, 90.00, 90.00 degrees
Last column: nearest neighbours and their distance in Å.
Positions (direct):
Hg1 0.0000 0.0000 0.0000  8 P 3.27, 4 S 3.31
P1 0.0000 0.5000 0.5000  2 S 2.34
P2 0.5000 0.0000 0.5000  2 S 2.34
S1 0.5000 0.5000 0.0000  2 S 2.28
S2 0.5000 0.5000 0.5000  2 S 2.28, 4 P 2.34

***

Entry B
HgP2S2 | PBE-GGA | relaxed

Cell lengths 4.9078, 4.9078, 5.0413 Å; angles 90.00, 90.00, 90.00 degrees
Last column: nearest neighbours and their distance in Å.
Positions (direct):
Hg1 0.0000 0.0000 0.0000  4 S 2.45, 2 P 2.52
P1 0.0000 0.0000 0.5000  2 Hg 2.52
P2 0.5000 0.5000 0.5000  4 P 3.47, 8 S 3.52
S1 0.0000 0.5000 0.0000  2 Hg 2.45
S2 0.5000 0.0000 0.0000  2 Hg 2.45

***

Tell me which of them is the least stable. Sure, it is entry B.

***

Entry A
HgP2S2 | PBE-GGA | relaxed

Cell lengths 5.0653, 5.0653, 4.8276 Å; angles 90.00, 90.00, 90.00 degrees
Last column: nearest neighbours and their distance in Å.
Positions (direct):
Hg1 0.0000 0.0000 0.0000  2 S 2.41, 4 P 2.53
P1 0.0000 0.5000 0.0000  2 Hg 2.53
P2 0.5000 0.0000 0.0000  2 Hg 2.53
S1 0.0000 0.0000 0.5000  2 Hg 2.41
S2 0.5000 0.5000 0.5000  8 P 3.50, 4 S 3.58

***

Entry B
HgP2S2 | PBE-GGA | relaxed

Cell lengths 4.4756, 4.4756, 4.8251 Å; angles 90.00, 90.00, 90.00 degrees
Last column: nearest neighbours and their distance in Å.
Positions (direct):
Hg1 0.0000 0.0000 0.0000  4 P 3.16, 8 S 3.29
P1 0.5000 0.5000 0.0000  2 P 2.41
P2 0.5000 0.5000 0.5000  4 S 2.24, 2 P 2.41
S1 0.0000 0.5000 0.5000  2 P 2.24
S2 0.5000 0.0000 0.5000  2 P 2.24

***

Tell me which of them is the least stable. Sure, it is entry A.

***

Entry A
HgPS4 | PBE-GGA | relaxed

Cell lengths 7.0999, 7.0999, 6.4768 Å; angles 116.52, 116.52, 27.45 degrees
Last column: nearest neighbours and their distance in Å.
Positions (direct):
Hg1 0.0000 0.0000 0.0000  6 S 2.62-2.83
P1 0.5000 0.5000 0.5000  6 S 2.23-2.32
S1 0.1136 0.1136 0.4918  2 P 2.32
S2 0.3887 0.3887 0.1177  1 P 2.23
S3 0.6113 0.6113 0.8823  1 P 2.23
S4 0.8864 0.8864 0.5082  2 P 2.32

***

Entry B
HgPS4 | PBE-GGA | relaxed

Cell lengths 6.5524, 6.5524, 9.8786 Å; angles 97.05, 97.05, 121.94 degrees
Last column: nearest neighbours and their distance in Å.
Positions (direct):
Hg1 0.1831 0.8169 0.5000  2 S 2.41
Hg2 0.8169 0.1831 0.0000  2 S 2.41
P1 0.1915 0.4503 0.7434  4 S 2.02-2.09
P2 0.4503 0.1915 0.2434  4 S 2.02-2.09
S1 0.1679 0.8420 0.2579  1 P 2.09
S2 0.1817 0.2826 0.5515  1 P 2.05
S3 0.2128 0.7791 0.7397  1 P 2.09
S4 0.2826 0.1817 0.0515  1 P 2.05
S5 0.4680 0.5609 0.9096  1 P 2.02
S6 0.5609 0.4680 0.4096  1 P 2.02
S7 0.7791 0.2128 0.2397  1 P 2.09
S8 0.8420 0.1679 0.7579  1 P 2.09

***

Tell me which of them is the least stable. Sure, it is entry A.

***

Entry A
TaHgPS2 | PBE-GGA | relaxed

Cell lengths 4.7752, 4.7752, 4.8956 Å; angles 90.00, 90.00, 90.00 degrees
Last column: nearest neighbours and their distance in Å.
Positions (direct):
Ta1 0.0000 0.0000 0.0000  4 P 3.38, 8 S 3.42
Hg1 0.5000 0.5000 0.5000  4 S 2.39, 2 P 2.45
P1 0.5000 0.5000 0.0000  2 Hg 2.45
S1 0.0000 0.5000 0.5000  2 Hg 2.39
S2 0.5000 0.0000 0.5000  2 Hg 2.39

***

Entry B
TaHgPS2 | PBE-GGA | relaxed

Cell lengths 4.7482, 4.7482, 5.0579 Å; angles 90.00, 90.00, 90.00 degrees
Last column: nearest neighbours and their distance in Å.
Positions (direct):
Ta1 0.0000 0.0000 0.0000  4 S 2.37, 2 P 2.53
Hg1 0.5000 0.5000 0.5000  4 P 3.36, 8 S 3.47
P1 0.0000 0.0000 0.5000  2 Ta 2.53
S1 0.0000 0.5000 0.0000  2 Ta 2.37
S2 0.5000 0.0000 0.0000  2 Ta 2.37

***

Tell me which of them is the least stable. Sure, it is entry A.